Computed, not measured: a relaxed structure of NaMoAs2O8 at the GGA+U level of DFT.

Computed properties:
Symmetry ... I-4m2 (119)
Total magnetization ... 1.00 μB/f.u.
VASP energy ... -72.44 eV per cell

Geometry as POSCAR:
```
NaMoAs2O8
1.0
-3.447 3.447 3.028
3.447 -3.447 3.028
3.447 3.447 -3.028
Na Mo As O
1 1 2 8
direct
0.000 0.000 0.000
0.250 0.750 0.500
0.500 0.500 0.000
0.750 0.250 0.500
0.325 0.129 0.804
0.325 0.522 0.196
0.371 0.047 0.324
0.478 0.675 0.804
0.722 0.047 0.676
0.871 0.675 0.196
0.953 0.278 0.324
0.953 0.629 0.676
```